Entry 1:
A plane-wave DFT calculation with PBE was carried out for Tl2PtPb2 after structural relaxation.

Unit cell a=7.2557 b=7.2557 c=5.2720 alpha=90.00 beta=90.00 gamma=90.00
Fractional coordinates of all 10 atoms:
Pb: 0.1662 0.6662 0.5000
Pb: 0.6662 0.8338 0.5000
Pb: 0.8338 0.3338 0.5000
Pb: 0.3338 0.1662 0.5000
Tl: 0.3480 0.8480 0.0000
Tl: 0.8480 0.6520 0.0000
Tl: 0.6520 0.1520 0.0000
Tl: 0.1520 0.3480 0.0000
Pt: 0.0000 0.0000 0.0000
Pt: 0.5000 0.5000 0.0000

Output
Symmetry: P4/mbm, No. 127
Raw total energy: -3.5089 eV/atom

=====

Entry 2:
A plane-wave DFT calculation with PBE was carried out for TlPtPb2 after structural relaxation.

Unit cell a=3.4554 b=3.4554 c=8.6349 alpha=90.00 beta=90.00 gamma=90.01
Fractional coordinates of all 4 atoms:
Pb: 0.0000 0.0000 0.9895
Pb: 0.5000 0.5000 0.3058
Pt: 0.0000 0.0000 0.5013
Tl: 0.5000 0.5000 0.7034

Output
Symmetry: P4mm, No. 99
Raw total energy: -3.9543 eV/atom

=====

What did the second record say?
A plane-wave DFT calculation with PBE was carried out for TlPtPb2 after structural relaxation.

Unit cell a=3.4554 b=3.4554 c=8.6349 alpha=90.00 beta=90.00 gamma=90.01
Fractional coordinates of all 4 atoms:
Pb: 0.0000 0.0000 0.9895
Pb: 0.5000 0.5000 0.3058
Pt: 0.0000 0.0000 0.5013
Tl: 0.5000 0.5000 0.7034

Output
Symmetry: P4mm, No. 99
Raw total energy: -3.9543 eV/atom